1.
Here is a relaxed PrPaHgBi crystal from Alexandria via LeMat-Bulk. Energies are from PBE.

a b c (Å): 5.461 5.461 5.461
angles (deg): 60.00 60.00 60.00
Site moments in Bohr magnetons follow the coordinates.
Sites, in units of the cell vectors:
1 Pa 0.500 0.500 0.500  1.48
2 Bi 0.250 0.250 0.250  0.02
3 Pr 0.000 0.000 0.000  0.29
4 Hg 0.750 0.750 0.750  0.04

Values from the calculation:
total magnetization = 2.598 μB per cell
formation energy = -15.44 kJ per mole of atoms


2.
Here is a relaxed PuPaHgBi crystal from Alexandria via LeMat-Bulk. Energies are from PBE.

a b c (Å): 5.390 5.390 5.390
angles (deg): 60.00 60.00 60.00
Site moments in Bohr magnetons follow the coordinates.
Sites, in units of the cell vectors:
1 Pa 0.250 0.250 0.250  1.65
2 Pu 0.750 0.750 0.750  5.70
3 Hg 0.500 0.500 0.500  0.07
4 Bi 0.000 0.000 0.000  0.00

Values from the calculation:
total magnetization = 8.681 μB per cell
formation energy = -2.22 kJ per mole of atoms


3.
Here is a relaxed PaTlHgBi crystal from Alexandria via LeMat-Bulk. Energies are from PBE.

a b c (Å): 5.405 5.405 5.405
angles (deg): 60.00 60.00 60.00
Site moments in Bohr magnetons follow the coordinates.
Sites, in units of the cell vectors:
1 Hg 0.250 0.250 0.250  0.00
2 Bi 0.750 0.750 0.750  0.00
3 Pa 0.500 0.500 0.500  0.93
4 Tl 0.000 0.000 0.000  0.00

Values from the calculation:
total magnetization = 1.040 μB per cell
formation energy = 13.77 kJ per mole of atoms


4.
Here is a relaxed Hg3BiPb5 crystal from Alexandria via LeMat-Bulk. Energies are from PBE.

a b c (Å): 6.858 6.858 12.725
angles (deg): 93.45 93.45 82.64
Sites, in units of the cell vectors:
1 Bi 0.053 0.053 0.275
2 Bi 0.947 0.947 0.725
3 Hg 0.000 0.000 0.500
4 Hg 0.267 0.267 0.115
5 Hg 0.670 0.670 0.498
6 Hg 0.733 0.733 0.885
7 Hg 0.000 0.000 0.000
8 Hg 0.330 0.330 0.502
9 Pb 0.503 0.503 0.275
10 Pb 0.245 0.245 0.863
11 Pb 0.016 0.523 0.331
12 Pb 0.675 0.325 0.000
13 Pb 0.523 0.016 0.331
14 Pb 0.325 0.675 0.000
15 Pb 0.755 0.755 0.137
16 Pb 0.497 0.497 0.725
17 Pb 0.984 0.477 0.669
18 Pb 0.477 0.984 0.669

Values from the calculation:
total magnetization = 0.000 μB per cell
formation energy = 11.52 kJ per mole of atoms


5.
Here is a relaxed HgBi2Pb8 crystal from Alexandria via LeMat-Bulk. Energies are from PBE.

a b c (Å): 4.192 9.021 9.479
angles (deg): 100.77 102.78 89.99
Sites, in units of the cell vectors:
1 Pb 0.316 0.102 0.632
2 Pb 0.408 0.539 0.815
3 Pb 0.133 0.171 0.266
4 Pb 0.955 0.265 0.909
5 Pb 0.867 0.829 0.734
6 Pb 0.684 0.898 0.368
7 Pb 0.045 0.735 0.091
8 Pb 0.592 0.461 0.185
9 Hg 0.500 0.000 0.000
10 Bi 0.771 0.364 0.543
11 Bi 0.229 0.636 0.457

Values from the calculation:
total magnetization = 0.000 μB per cell
formation energy = 3.26 kJ per mole of atoms
energy relative to the lowest polymorph listed for this composition = 0.0 meV per atom


6.
Here is a relaxed HgBi4Pb6 crystal from Alexandria via LeMat-Bulk. Energies are from PBE.

a b c (Å): 3.477 10.992 10.992
angles (deg): 120.00 90.00 90.00
Sites, in units of the cell vectors:
1 Pb 0.500 0.173 0.827
2 Pb 0.500 0.655 0.827
3 Pb 0.000 0.519 0.481
4 Pb 0.500 0.173 0.345
5 Pb 0.000 0.519 0.039
6 Pb 0.000 0.961 0.481
7 Hg 0.000 0.000 0.000
8 Bi 0.500 0.829 0.171
9 Bi 0.500 0.829 0.658
10 Bi 0.500 0.342 0.171
11 Bi 0.000 0.333 0.667

Values from the calculation:
total magnetization = 0.000 μB per cell
formation energy = 6.46 kJ per mole of atoms


7.
Here is a relaxed HgBiPb3 crystal from Alexandria via LeMat-Bulk. Energies are from PBE.

a b c (Å): 4.477 6.218 11.787
angles (deg): 90.80 90.35 68.60
Sites, in units of the cell vectors:
1 Bi 0.444 0.116 0.668
2 Bi 0.556 0.884 0.332
3 Pb 0.862 0.281 0.460
4 Pb 0.361 0.284 0.950
5 Pb 0.639 0.716 0.050
6 Pb 0.264 0.476 0.247
7 Pb 0.736 0.524 0.753
8 Pb 0.138 0.719 0.540
9 Hg 0.052 0.896 0.852
10 Hg 0.948 0.104 0.148

Values from the calculation:
total magnetization = 0.000 μB per cell
formation energy = 1.97 kJ per mole of atoms
energy relative to the lowest polymorph listed for this composition = 0.0 meV per atom


8.
Here is a relaxed HgBiPb4 crystal from Alexandria via LeMat-Bulk. Energies are from PBE.

a b c (Å): 4.904 9.898 10.509
angles (deg): 90.00 133.78 90.00
Sites, in units of the cell vectors:
1 Pb 0.988 0.750 0.992
2 Pb 0.503 0.999 0.668
3 Pb 0.497 0.001 0.332
4 Pb 0.497 0.499 0.332
5 Pb 0.012 0.250 0.008
6 Pb 0.985 0.750 0.325
7 Pb 0.015 0.250 0.675
8 Pb 0.503 0.501 0.668
9 Bi 0.006 0.250 0.338
10 Bi 0.994 0.750 0.662
11 Hg 0.500 0.500 0.000
12 Hg 0.500 0.000 0.000

Values from the calculation:
total magnetization = 0.000 μB per cell
formation energy = 1.58 kJ per mole of atoms
energy relative to the lowest polymorph listed for this composition = 0.0 meV per atom


9.
Here is a relaxed Hg3BiPb3 crystal from Alexandria via LeMat-Bulk. Energies are from PBE.

a b c (Å): 8.272 8.272 8.272
angles (deg): 90.00 90.00 90.00
Site moments in Bohr magnetons follow the coordinates.
Sites, in units of the cell vectors:
1 Hg 0.750 0.000 0.500  0.01
2 Hg 0.000 0.500 0.250  0.01
3 Hg 0.000 0.500 0.750  0.01
4 Hg 0.250 0.000 0.500  0.01
5 Hg 0.500 0.750 0.000  0.01
6 Hg 0.500 0.250 0.000  0.01
7 Bi 0.500 0.500 0.500  0.80
8 Bi 0.000 0.000 0.000  0.80
9 Pb 0.000 0.750 0.500  0.01
10 Pb 0.250 0.500 0.000  0.01
11 Pb 0.500 0.000 0.750  0.01
12 Pb 0.750 0.500 0.000  0.01
13 Pb 0.000 0.250 0.500  0.01
14 Pb 0.500 0.000 0.250  0.01

Values from the calculation:
total magnetization = 2.789 μB per cell
formation energy = 51.70 kJ per mole of atoms
energy relative to the lowest polymorph listed for this composition = 490.5 meV per atom


10.
Here is a relaxed HgBiPb3 crystal from Alexandria via LeMat-Bulk. Energies are from PBE.

a b c (Å): 5.183 6.715 9.460
angles (deg): 90.00 90.00 90.00
Sites, in units of the cell vectors:
1 Bi 0.500 0.500 0.418
2 Bi 0.000 0.000 0.582
3 Pb 0.000 0.000 0.935
4 Pb 0.500 0.249 0.723
5 Pb 0.000 0.749 0.277
6 Pb 0.000 0.251 0.277
7 Pb 0.500 0.751 0.723
8 Pb 0.500 0.500 0.065
9 Hg 0.000 0.500 0.873
10 Hg 0.500 0.000 0.127

Values from the calculation:
total magnetization = 0.000 μB per cell
formation energy = 6.96 kJ per mole of atoms
energy relative to the lowest polymorph listed for this composition = 51.7 meV per atom


11.
Here is a relaxed Hg5BiPb8 crystal from Alexandria via LeMat-Bulk. Energies are from PBE.

a b c (Å): 9.496 9.496 9.496
angles (deg): 94.21 94.21 148.54
Sites, in units of the cell vectors:
1 Hg 0.331 0.059 0.954
2 Hg 0.622 0.669 0.728
3 Hg 0.500 0.500 0.000
4 Hg 0.105 0.378 0.046
5 Hg 0.941 0.895 0.272
6 Pb 0.581 0.315 0.362
7 Pb 0.486 0.869 0.867
8 Pb 0.685 0.048 0.266
9 Pb 0.952 0.218 0.638
10 Pb 0.131 0.999 0.617
11 Pb 0.001 0.618 0.133
12 Pb 0.382 0.514 0.383
13 Pb 0.782 0.419 0.734
14 Bi 0.250 0.750 0.500

Values from the calculation:
total magnetization = 0.000 μB per cell
formation energy = 4.55 kJ per mole of atoms


12.
Here is a relaxed Hg2Bi2Pb7 crystal from Alexandria via LeMat-Bulk. Energies are from PBE.

a b c (Å): 7.227 7.170 7.170
angles (deg): 91.12 102.96 102.96
Sites, in units of the cell vectors:
1 Pb 0.820 0.546 0.105
2 Pb 0.180 0.895 0.454
3 Pb 0.820 0.105 0.546
4 Pb 0.189 0.394 0.394
5 Pb 0.180 0.454 0.895
6 Pb 0.000 0.000 0.000
7 Pb 0.811 0.606 0.606
8 Bi 0.500 0.248 0.752
9 Bi 0.500 0.752 0.248
10 Hg 0.484 0.203 0.203
11 Hg 0.516 0.797 0.797

Values from the calculation:
total magnetization = 0.000 μB per cell
formation energy = 6.72 kJ per mole of atoms
energy relative to the lowest polymorph listed for this composition = 12.4 meV per atom


13.
Here is a relaxed HgBi2Pb6 crystal from Alexandria via LeMat-Bulk. Energies are from PBE.

a b c (Å): 3.481 8.035 10.794
angles (deg): 78.01 80.72 77.49
Sites, in units of the cell vectors:
1 Pb 0.224 0.655 0.897
2 Pb 0.624 0.303 0.448
3 Pb 0.776 0.345 0.103
4 Pb 0.950 0.341 0.760
5 Pb 0.376 0.697 0.552
6 Pb 0.050 0.659 0.240
7 Bi 0.658 0.986 0.698
8 Bi 0.342 0.014 0.302
9 Hg 0.000 0.000 0.000

Values from the calculation:
total magnetization = 0.000 μB per cell
formation energy = 4.61 kJ per mole of atoms
energy relative to the lowest polymorph listed for this composition = 10.0 meV per atom


14.
Here is a relaxed Hg5Bi2Pb12 crystal from Alexandria via LeMat-Bulk. Energies are from PBE.

a b c (Å): 6.204 10.385 10.385
angles (deg): 65.45 77.93 77.93
Sites, in units of the cell vectors:
1 Pb 0.333 0.428 0.428
2 Pb 0.803 0.931 0.460
3 Pb 0.803 0.460 0.931
4 Pb 0.379 0.867 0.336
5 Pb 0.621 0.133 0.664
6 Pb 0.197 0.540 0.069
7 Pb 0.019 0.903 0.903
8 Pb 0.667 0.572 0.572
9 Pb 0.981 0.097 0.097
10 Pb 0.621 0.664 0.133
11 Pb 0.197 0.069 0.540
12 Pb 0.379 0.336 0.867
13 Hg 0.500 0.000 0.000
14 Hg 0.876 0.328 0.328
15 Hg 0.481 0.220 0.220
16 Hg 0.124 0.672 0.672
17 Hg 0.519 0.780 0.780
18 Bi 0.000 0.724 0.276
19 Bi 0.000 0.276 0.724

Values from the calculation:
total magnetization = 0.000 μB per cell
formation energy = 4.83 kJ per mole of atoms
energy relative to the lowest polymorph listed for this composition = 14.7 meV per atom


15.
Here is a relaxed Hg6BiPb10 crystal from Alexandria via LeMat-Bulk. Energies are from PBE.

a b c (Å): 6.749 9.338 9.338
angles (deg): 120.00 90.00 90.00
Sites, in units of the cell vectors:
1 Pb 0.500 0.333 0.667
2 Pb 0.000 0.667 0.333
3 Pb 0.196 0.000 0.712
4 Pb 0.804 0.712 0.712
5 Pb 0.196 0.288 0.288
6 Pb 0.000 0.333 0.667
7 Pb 0.804 0.288 0.000
8 Pb 0.500 0.667 0.333
9 Pb 0.196 0.712 0.000
10 Pb 0.804 0.000 0.288
11 Hg 0.294 0.369 0.000
12 Hg 0.706 0.369 0.369
13 Hg 0.294 0.631 0.631
14 Hg 0.706 0.000 0.631
15 Hg 0.706 0.631 0.000
16 Hg 0.294 0.000 0.369
17 Bi 0.500 0.000 0.000

Values from the calculation:
total magnetization = 0.000 μB per cell
formation energy = 4.16 kJ per mole of atoms


16.
Here is a relaxed HgBiPb3 crystal from Alexandria via LeMat-Bulk. Energies are from PBE.

a b c (Å): 5.707 5.707 5.707
angles (deg): 90.00 90.00 90.00
Sites, in units of the cell vectors:
1 Hg 0.000 0.000 0.000
2 Bi 0.500 0.500 0.500
3 Pb 0.000 0.000 0.500
4 Pb 0.000 0.500 0.000
5 Pb 0.500 0.000 0.000

Values from the calculation:
total magnetization = 0.000 μB per cell
formation energy = 41.56 kJ per mole of atoms
energy relative to the lowest polymorph listed for this composition = 410.3 meV per atom


17.
Here is a relaxed Hg3BiPb3 crystal from Alexandria via LeMat-Bulk. Energies are from PBE.

a b c (Å): 5.650 9.126 9.126
angles (deg): 120.00 90.00 90.00
Sites, in units of the cell vectors:
1 Hg 0.250 0.107 0.626
2 Hg 0.750 0.893 0.374
3 Hg 0.750 0.481 0.107
4 Hg 0.250 0.374 0.481
5 Hg 0.750 0.626 0.519
6 Hg 0.250 0.519 0.893
7 Pb 0.250 0.256 0.069
8 Pb 0.250 0.813 0.744
9 Pb 0.750 0.187 0.256
10 Pb 0.750 0.069 0.813
11 Pb 0.750 0.744 0.931
12 Pb 0.250 0.931 0.187
13 Bi 0.250 0.667 0.333
14 Bi 0.750 0.333 0.667

Values from the calculation:
total magnetization = 0.000 μB per cell
formation energy = 4.37 kJ per mole of atoms
energy relative to the lowest polymorph listed for this composition = 0.0 meV per atom


18.
Here is a relaxed Hg3Bi4Pb5 crystal from Alexandria via LeMat-Bulk. Energies are from PBE.

a b c (Å): 7.388 4.798 12.505
angles (deg): 98.31 76.18 114.81
Sites, in units of the cell vectors:
1 Bi 0.787 0.202 0.991
2 Bi 0.213 0.798 0.009
3 Bi 0.234 0.360 0.650
4 Bi 0.766 0.640 0.350
5 Pb 0.539 0.582 0.145
6 Pb 0.461 0.418 0.855
7 Pb 0.991 0.764 0.803
8 Pb 0.009 0.236 0.197
9 Pb 0.500 0.000 0.500
10 Hg 0.285 0.000 0.309
11 Hg 0.715 0.000 0.691
12 Hg 0.000 0.500 0.500

Values from the calculation:
total magnetization = 0.000 μB per cell
formation energy = 5.14 kJ per mole of atoms


19.
Here is a relaxed HgBi2Pb crystal from Alexandria via LeMat-Bulk. Energies are from PBE.

a b c (Å): 5.552 5.552 5.552
angles (deg): 60.00 60.00 60.00
Sites, in units of the cell vectors:
1 Bi 0.750 0.750 0.750
2 Bi 0.250 0.250 0.250
3 Hg 0.000 0.000 0.000
4 Pb 0.500 0.500 0.500

Values from the calculation:
total magnetization = 0.000 μB per cell
formation energy = 9.11 kJ per mole of atoms
energy relative to the lowest polymorph listed for this composition = 40.9 meV per atom


20.
Here is a relaxed HgBi2Pb2 crystal from Alexandria via LeMat-Bulk. Energies are from PBE.

a b c (Å): 7.898 7.898 9.141
angles (deg): 122.77 122.77 92.36
Sites, in units of the cell vectors:
1 Bi 0.590 0.410 0.750
2 Bi 0.274 0.726 0.750
3 Bi 0.726 0.274 0.250
4 Bi 0.410 0.590 0.250
5 Pb 0.281 0.149 0.772
6 Pb 0.851 0.719 0.728
7 Pb 0.149 0.281 0.272
8 Pb 0.719 0.851 0.228
9 Hg 0.853 0.147 0.750
10 Hg 0.147 0.853 0.250

Values from the calculation:
total magnetization = 0.000 μB per cell
formation energy = 8.16 kJ per mole of atoms
energy relative to the lowest polymorph listed for this composition = 56.9 meV per atom


21.
Here is a relaxed HgBi2Pb2 crystal from Alexandria via LeMat-Bulk. Energies are from PBE.

a b c (Å): 5.383 5.383 7.649
angles (deg): 69.40 69.40 90.00
Sites, in units of the cell vectors:
1 Bi 0.618 0.618 0.764
2 Bi 0.382 0.382 0.236
3 Pb 0.250 0.750 0.500
4 Pb 0.750 0.250 0.500
5 Hg 0.000 0.000 0.000

Values from the calculation:
total magnetization = 0.000 μB per cell
formation energy = 7.73 kJ per mole of atoms
energy relative to the lowest polymorph listed for this composition = 52.5 meV per atom


22.
Here is a relaxed Hg6BiPb6 crystal from Alexandria via LeMat-Bulk. Energies are from PBE.

a b c (Å): 6.305 6.305 10.988
angles (deg): 90.00 90.00 120.10
Sites, in units of the cell vectors:
1 Pb 0.000 0.000 0.660
2 Pb 0.666 0.334 0.500
3 Pb 0.333 0.667 0.000
4 Pb 0.000 0.000 0.340
5 Pb 0.667 0.333 0.000
6 Pb 0.334 0.666 0.500
7 Hg 0.000 0.500 0.250
8 Hg 0.500 0.000 0.250
9 Hg 0.500 0.000 0.750
10 Hg 0.500 0.500 0.751
11 Hg 0.000 0.500 0.750
12 Hg 0.500 0.500 0.249
13 Bi 0.000 0.000 0.000

Values from the calculation:
total magnetization = 0.000 μB per cell
formation energy = 8.25 kJ per mole of atoms